An optimized crystal structure of YTmSc2Se6. Source: Alexandria, functional GGA-PBE.

a = 6.9739 Å, b = 6.9739 Å, c = 18.8604 Å
α = 90.00°, β = 90.00°, γ = 120.00°
Space group R3 (No. 146, hexagonal axes)
Symmetry-distinct sites (fractional):
1 Y 0.0000 0.0000 0.0000 [3 per cell]
2 Tm 0.0000 0.0000 0.4985 [3 per cell]
3 Sc 0.0000 0.0000 0.3060 [3 per cell]
4 Sc 0.0000 0.0000 0.8069 [3 per cell]
5 Se 0.0128 0.6453 0.5643 [9 per cell]
6 Se 0.0141 0.3739 0.0649 [9 per cell]

ΔE_f (raw)	-1.75	eV/atom

=====

An optimized crystal structure of YTm3Sc2Se6. Source: Alexandria, functional GGA-PBE.

a = 17.342 Å, b = 3.979 Å, c = 7.994 Å
α = 90.00°, β = 103.21°, γ = 90.00°
Space group C2/m (No. 12)
Symmetry-distinct sites (fractional):
1 Y 0.000 0.000 0.000 [2 per cell]
2 Tm 0.000 0.000 0.500 [2 per cell]
3 Tm 0.163 0.500 0.831 [4 per cell]
4 Sc 0.166 0.500 0.333 [4 per cell]
5 Se 0.004 0.500 0.256 [4 per cell]
6 Se 0.169 0.000 0.578 [4 per cell]
7 Se 0.170 0.000 0.091 [4 per cell]

ΔE_f (raw)	-1.65	eV/atom

=====

An optimized crystal structure of YTm2Sc3Se6. Source: Alexandria, functional GGA-PBE.

a = 6.839 Å, b = 11.895 Å, c = 6.863 Å
α = 90.00°, β = 109.41°, γ = 90.00°
Space group C2/m (No. 12)
Symmetry-distinct sites (fractional):
1 Y 0.000 0.000 0.000 [2 per cell]
2 Tm 0.000 0.334 0.000 [4 per cell]
3 Sc 0.000 0.161 0.500 [4 per cell]
4 Sc 0.000 0.500 0.500 [2 per cell]
5 Se 0.243 0.330 0.737 [8 per cell]
6 Se 0.248 0.500 0.260 [4 per cell]

ΔE_f (raw)	-1.64	eV/atom

=====

An optimized crystal structure of YTmSc2Se4. Source: Alexandria, functional GGA-PBE.

a = 6.872 Å, b = 3.940 Å, c = 6.894 Å
α = 90.00°, β = 109.15°, γ = 90.00°
Space group P2/m (No. 10)
Symmetry-distinct sites (fractional):
1 Y 0.000 0.000 0.000 [1 per cell]
2 Tm 0.000 0.500 0.500 [1 per cell]
3 Sc 0.500 0.000 0.500 [1 per cell]
4 Sc 0.500 0.500 0.000 [1 per cell]
5 Se 0.262 0.000 0.751 [2 per cell]
6 Se 0.264 0.500 0.258 [2 per cell]

ΔE_f (raw)	-1.65	eV/atom

=====

An optimized crystal structure of TmZrSc2Se4. Source: Alexandria, functional GGA-PBE.

a = 6.762 Å, b = 3.901 Å, c = 6.806 Å
α = 90.00°, β = 109.48°, γ = 90.00°
Space group P2/m (No. 10)
Symmetry-distinct sites (fractional):
1 Tm 0.000 0.000 0.000 [1 per cell]
2 Zr 0.500 0.500 0.000 [1 per cell]
3 Sc 0.000 0.500 0.500 [1 per cell]
4 Sc 0.500 0.000 0.500 [1 per cell]
5 Se 0.249 0.000 0.742 [2 per cell]
6 Se 0.255 0.500 0.259 [2 per cell]

ΔE_f (raw)	-1.46	eV/atom

=====

An optimized crystal structure of ScUSe4. Source: Alexandria, functional GGA-PBE.

a = 9.023 Å, b = 9.237 Å, c = 4.102 Å
α = 90.00°, β = 90.00°, γ = 90.00°
Space group Cmmm (No. 65)
Symmetry-distinct sites (fractional):
1 Sc 0.000 0.000 0.000 [2 per cell]
2 U 0.000 0.500 0.500 [2 per cell]
3 Se 0.000 0.300 0.000 [4 per cell]
4 Se 0.196 0.000 0.500 [4 per cell]

ΔE_f (raw)	-1.19	eV/atom

=====

An optimized crystal structure of Sc2USe5. Source: Alexandria, functional GGA-PBE.

a = 5.423 Å, b = 13.158 Å, c = 13.705 Å
α = 90.00°, β = 90.00°, γ = 90.00°
Space group Fmmm (No. 69)
Symmetry-distinct sites (fractional):
1 Sc 0.000 0.000 0.191 [8 per cell]
2 U 0.000 0.000 0.500 [4 per cell]
3 Se 0.000 0.000 0.000 [4 per cell]
4 Se 0.000 0.129 0.338 [16 per cell]

ΔE_f (raw)	-1.17	eV/atom

=====

An optimized crystal structure of ScU2Se4. Source: Alexandria, functional GGA-PBE.

a = 3.777 Å, b = 13.411 Å, c = 13.926 Å
α = 90.00°, β = 90.00°, γ = 90.00°
Space group Cmcm (No. 63)
Symmetry-distinct sites (fractional):
1 Sc 0.000 0.120 0.250 [4 per cell]
2 U 0.000 0.360 0.071 [8 per cell]
3 Se 0.000 0.000 0.000 [4 per cell]
4 Se 0.000 0.291 0.629 [8 per cell]
5 Se 0.000 0.469 0.250 [4 per cell]

ΔE_f (raw)	-1.17	eV/atom

=====

An optimized crystal structure of ScUSe4. Source: Alexandria, functional GGA-PBE.

a = 6.641 Å, b = 4.027 Å, c = 6.793 Å
α = 90.00°, β = 90.60°, γ = 90.00°
Space group P2/m (No. 10)
Symmetry-distinct sites (fractional):
1 Sc 0.000 0.000 0.000 [1 per cell]
2 U 0.000 0.500 0.500 [1 per cell]
3 Se 0.224 0.500 0.837 [2 per cell]
4 Se 0.232 0.000 0.333 [2 per cell]

ΔE_f (raw)	-1.31	eV/atom

=====

An optimized crystal structure of ScUSe2. Source: Alexandria, functional GGA-PBE.

a = 3.8226 Å, b = 3.8226 Å, c = 26.6896 Å
α = 90.00°, β = 90.00°, γ = 120.00°
Space group R-3m (No. 166, hexagonal axes)
Symmetry-distinct sites (fractional):
1 Sc 0.0000 0.0000 0.0000 [3 per cell]
2 U 0.0000 0.0000 0.5000 [3 per cell]
3 Se 0.0000 0.0000 0.0981 [6 per cell]

ΔE_f (raw)	-0.76	eV/atom

=====

An optimized crystal structure of ScUSe. Source: Alexandria, functional GGA-PBE.

a = 3.821 Å, b = 3.821 Å, c = 8.015 Å
α = 90.00°, β = 90.00°, γ = 90.00°
Space group P4/nmm (No. 129, origin choice 2)
Symmetry-distinct sites (fractional):
1 Sc 0.250 0.250 0.142 [2 per cell]
2 U 0.250 0.750 0.500 [2 per cell]
3 Se 0.250 0.250 0.799 [2 per cell]

ΔE_f (raw)	-0.85	eV/atom

=====

An optimized crystal structure of ScU2Se6. Source: Alexandria, functional GGA-PBE.

a = 17.793 Å, b = 4.065 Å, c = 8.286 Å
α = 90.00°, β = 105.21°, γ = 90.00°
Space group C2/m (No. 12)
Symmetry-distinct sites (fractional):
1 Sc 0.000 0.000 0.000 [2 per cell]
2 U 0.163 0.500 0.320 [4 per cell]
3 Se 0.005 0.500 0.227 [4 per cell]
4 Se 0.159 0.000 0.088 [4 per cell]
5 Se 0.173 0.000 0.562 [4 per cell]

ΔE_f (raw)	-1.24	eV/atom

=====

> What is the formula in the eleventh record?

ScUSe

=====

> Which of these has the lowest ΔE_f (raw)?

YTmSc2Se6

=====

Repeat the fourth record exactly.
An optimized crystal structure of YTmSc2Se4. Source: Alexandria, functional GGA-PBE.

a = 6.872 Å, b = 3.940 Å, c = 6.894 Å
α = 90.00°, β = 109.15°, γ = 90.00°
Space group P2/m (No. 10)
Symmetry-distinct sites (fractional):
1 Y 0.000 0.000 0.000 [1 per cell]
2 Tm 0.000 0.500 0.500 [1 per cell]
3 Sc 0.500 0.000 0.500 [1 per cell]
4 Sc 0.500 0.500 0.000 [1 per cell]
5 Se 0.262 0.000 0.751 [2 per cell]
6 Se 0.264 0.500 0.258 [2 per cell]

ΔE_f (raw)	-1.65	eV/atom